Here is a relaxed K4Tb3PuS8 crystal from the Alexandria database. Energies are from GGA-PBE.

Lattice parameters (Å, degrees): 8.1775 8.7429 8.1775 117.89 120.00 90.00
With the nearest neighbours (Å) after each atom.
Element x y z (fractional)
K 0.5000 0.0000 0.0000  6 S 3.21
K 0.5000 0.0000 0.5000  6 S 3.22-3.23
K 0.0000 0.0000 0.0000  6 S 3.22-3.23
K 0.0000 0.0000 0.5000  6 S 3.22-3.23
Tb 0.5000 0.5000 0.0000  6 S 2.78-2.79
Tb 0.5000 0.5000 0.5000  6 S 2.78-2.79
Tb 0.0000 0.5000 0.5000  6 S 2.78-2.79
Pu 0.0000 0.5000 0.0000  6 S 2.80
S 0.2351 0.7019 0.9668  2 Tb 2.78, 1 Pu 2.80
S 0.2351 0.7019 0.4702  2 Tb 2.78, 1 Pu 2.80
S 0.2657 0.2972 0.5314  3 Tb 2.79
S 0.7317 0.7019 0.9668  2 Tb 2.78, 1 Pu 2.80
S 0.2683 0.2981 0.0332  2 Tb 2.78, 1 Pu 2.80
S 0.7343 0.7028 0.4686  3 Tb 2.79
S 0.7649 0.2981 0.5298  2 Tb 2.78, 1 Pu 2.80
S 0.7649 0.2981 0.0332  2 Tb 2.78, 1 Pu 2.80

## Properties
Space group ... R-3m
Density ... 4.4 Mg/m³
Final energy ... -5.90 eV per atom
Magnetic moment ... 5.00 μB per cell

=====

Here is a relaxed K3Pu3TcS8 crystal from the Alexandria database. Energies are from GGA-PBE.

Lattice parameters (Å, degrees): 7.8244 7.8261 8.7895 116.45 90.01 119.98
With the nearest neighbours (Å) after each atom.
Element x y z (fractional)
K 0.0000 0.0000 0.0000  6 S 3.18-3.21
K 0.0000 0.5000 0.0000  6 S 3.18-3.21
K 0.5000 0.5000 0.0000  6 S 3.18-3.21
Pu 0.5000 0.0000 0.5000  6 S 2.73-2.74
Pu 0.5000 0.5000 0.5000  6 S 2.73-2.74
Pu 0.0000 0.5000 0.5000  6 S 2.73-2.74
Tc 0.0000 0.0000 0.5000  6 S 2.52
S 0.2657 0.5314 0.2971  3 Pu 2.73
S 0.7343 0.4686 0.7029  3 Pu 2.73
S 0.7837 0.5674 0.3126  1 Tc 2.52, 2 Pu 2.74
S 0.2163 0.4326 0.6874  1 Tc 2.52, 2 Pu 2.74
S 0.7837 0.0288 0.3126  1 Tc 2.52, 2 Pu 2.74
S 0.2163 0.9712 0.6874  1 Tc 2.52, 2 Pu 2.74
S 0.2451 0.0287 0.3126  1 Tc 2.52, 2 Pu 2.74
S 0.7549 0.9713 0.6874  1 Tc 2.52, 2 Pu 2.74

## Properties
Space group ... R-3m
Density ... 5.0 Mg/m³
Final energy ... -7.30 eV per atom
Magnetic moment ... 12.00 μB per cell

=====

Here is a relaxed K4Pu3ThS8 crystal from the Alexandria database. Energies are from GGA-PBE.

Lattice parameters (Å, degrees): 8.2972 8.7768 8.2976 118.21 120.00 90.00
With the nearest neighbours (Å) after each atom.
Element x y z (fractional)
K 0.5000 0.0000 0.0000  6 S 3.25
K 0.5000 0.0000 0.5000  6 S 3.23-3.27
K 0.0000 0.0000 0.0000  6 S 3.23-3.27
K 0.0000 0.0000 0.5000  6 S 3.23-3.27
Pu 0.5000 0.5000 0.0000  6 S 2.80-2.84
Pu 0.5000 0.5000 0.5000  6 S 2.80-2.84
Pu 0.0000 0.5000 0.5000  6 S 2.80-2.84
Th 0.0000 0.5000 0.0000  6 S 2.81
S 0.2336 0.7047 0.9711  1 Th 2.81, 2 Pu 2.84
S 0.2336 0.7047 0.4673  1 Th 2.81, 2 Pu 2.84
S 0.2675 0.3026 0.5350  3 Pu 2.80
S 0.7374 0.7047 0.9711  1 Th 2.81, 2 Pu 2.84
S 0.2626 0.2953 0.0289  1 Th 2.81, 2 Pu 2.84
S 0.7325 0.6974 0.4650  3 Pu 2.80
S 0.7664 0.2953 0.5327  1 Th 2.81, 2 Pu 2.84
S 0.7664 0.2953 0.0289  1 Th 2.81, 2 Pu 2.84

## Properties
Space group ... R-3m
Density ... 5.2 Mg/m³
Final energy ... -7.14 eV per atom
Magnetic moment ... 16.00 μB per cell

=====

Here is a relaxed K3PuTh2S6 crystal from the Alexandria database. Energies are from GGA-PBE.

Lattice parameters (Å, degrees): 7.1786 7.1786 7.8062 98.82 98.82 120.00
With the nearest neighbours (Å) after each atom.
Element x y z (fractional)
K 0.1653 0.8347 0.5000  6 S 3.22-3.24
K 0.8347 0.1653 0.5000  6 S 3.22-3.24
K 0.5000 0.5000 0.5000  6 S 3.21-3.24
Pu 0.0000 0.0000 0.0000  6 S 2.87
Th 0.3332 0.6668 0.0000  6 S 2.84
Th 0.6668 0.3332 0.0000  6 S 2.84
S 0.9304 0.5935 0.7913  2 Th 2.84, 1 Pu 2.87
S 0.7324 0.7324 0.2083  2 Th 2.84, 1 Pu 2.87
S 0.0696 0.4065 0.2087  2 Th 2.84, 1 Pu 2.87
S 0.5935 0.9304 0.7913  2 Th 2.84, 1 Pu 2.87
S 0.2676 0.2676 0.7917  2 Th 2.84, 1 Pu 2.87
S 0.4065 0.0696 0.2087  2 Th 2.84, 1 Pu 2.87

## Properties
Space group ... C2/m
Density ... 5.1 Mg/m³
Final energy ... -6.45 eV per atom
Magnetic moment ... 6.79 μB per cell

=====

Here is a relaxed K2PuThS4 crystal from the Alexandria database. Energies are from GGA-PBE.

Lattice parameters (Å, degrees): 4.1649 7.1818 7.7730 108.02 90.00 90.00
With the nearest neighbours (Å) after each atom.
Element x y z (fractional)
K 0.5000 0.0000 0.5000  6 S 3.21-3.24
K 0.0000 0.5000 0.5000  6 S 3.24-3.27
Pu 0.5000 0.5000 0.0000  6 S 2.85-2.87
Th 0.0000 0.0000 0.0000  6 S 2.81-2.84
S 0.5000 0.2322 0.2081  2 Th 2.84, 1 Pu 2.87
S 0.5000 0.7678 0.7919  2 Th 2.84, 1 Pu 2.87
S 0.0000 0.2616 0.7962  1 Th 2.81, 2 Pu 2.85
S 0.0000 0.7384 0.2038  1 Th 2.81, 2 Pu 2.85

## Properties
Space group ... P2/m
Density ... 5.1 Mg/m³
Final energy ... -6.73 eV per atom
Magnetic moment ... 6.00 μB per cell

=====

Here is a relaxed KPuThS4 crystal from the Alexandria database. Energies are from GGA-PBE.

Lattice parameters (Å, degrees): 8.4880 8.5307 8.6090 120.30 90.00 119.83
With the nearest neighbours (Å) after each atom.
Element x y z (fractional)
K 0.8687 0.7374 0.1187  4 S 3.01-3.02
K 0.1313 0.2626 0.8813  4 S 3.01-3.02
Pu 0.5000 0.5000 0.5000  6 S 2.79-2.84
Pu 0.0000 0.5000 0.5000  6 S 2.79-2.84
Th 0.5000 0.0000 0.5000  6 S 2.79-2.81
Th 0.5000 0.0000 0.0000  6 S 2.79-2.81
S 0.7299 0.4598 0.6888  1 Th 2.79, 2 Pu 2.79, 1 K 3.01
S 0.3038 0.0315 0.2658  2 Th 2.81, 1 Pu 2.84, 1 K 3.02
S 0.7277 0.0315 0.2658  2 Th 2.81, 1 Pu 2.84, 1 K 3.02
S 0.7299 0.4598 0.2710  1 Th 2.79, 2 Pu 2.79, 1 K 3.01
S 0.2701 0.5402 0.7290  1 Th 2.79, 2 Pu 2.79, 1 K 3.01
S 0.6962 0.9685 0.7342  2 Th 2.81, 1 Pu 2.84, 1 K 3.02
S 0.2723 0.9685 0.7342  2 Th 2.81, 1 Pu 2.84, 1 K 3.02
S 0.2701 0.5402 0.3112  1 Th 2.79, 2 Pu 2.79, 1 K 3.01

## Properties
Space group ... Imma
Density ... 4.9 Mg/m³
Final energy ... -7.33 eV per atom
Magnetic moment ... 10.00 μB per cell

=====

Here is a relaxed K3Pu2ThS6 crystal from the Alexandria database. Energies are from GGA-PBE.

Lattice parameters (Å, degrees): 4.1616 8.7801 9.7207 107.39 102.36 90.00
With the nearest neighbours (Å) after each atom.
Element x y z (fractional)
K 0.5000 0.5000 0.0000  6 S 3.24
K 0.8309 0.1687 0.6618  6 S 3.23-3.25
K 0.1691 0.8313 0.3382  6 S 3.23-3.25
Pu 0.8307 0.6631 0.6615  6 S 2.78-2.92
Pu 0.1693 0.3369 0.3385  6 S 2.78-2.92
Th 0.5000 0.0000 0.0000  6 S 2.79-2.83
S 0.3456 0.8952 0.6913  1 Th 2.79, 2 Pu 2.87
S 0.6768 0.5543 0.3536  3 Pu 2.78-2.80
S 0.6544 0.1048 0.3087  1 Th 2.79, 2 Pu 2.87
S 0.0079 0.2227 0.0159  2 Th 2.83, 1 Pu 2.92
S 0.9921 0.7773 0.9841  2 Th 2.83, 1 Pu 2.92
S 0.3232 0.4457 0.6464  3 Pu 2.78-2.80

## Properties
Space group ... C2/m
Density ... 5.2 Mg/m³
Final energy ... -7.00 eV per atom
Magnetic moment ... 11.01 μB per cell

=====

Here is a relaxed K3Pu3TiS8 crystal from the Alexandria database. Energies are from GGA-PBE.

Lattice parameters (Å, degrees): 7.9115 7.9129 8.7580 116.86 90.00 119.99
With the nearest neighbours (Å) after each atom.
Element x y z (fractional)
K 0.0000 0.0000 0.0000  6 S 3.19-3.22
K 0.0000 0.5000 0.0000  6 S 3.19-3.22
K 0.5000 0.5000 0.0000  6 S 3.19-3.22
Pu 0.5000 0.0000 0.5000  6 S 2.74-2.75
Pu 0.5000 0.5000 0.5000  6 S 2.74-2.75
Pu 0.0000 0.5000 0.5000  6 S 2.74-2.75
Ti 0.0000 0.0000 0.5000  6 S 2.53
S 0.2660 0.5319 0.2978  3 Pu 2.74
S 0.7340 0.4681 0.7022  3 Pu 2.74
S 0.7839 0.5677 0.3136  1 Ti 2.53, 2 Pu 2.75
S 0.2161 0.4323 0.6864  1 Ti 2.53, 2 Pu 2.75
S 0.7838 0.0297 0.3135  1 Ti 2.53, 2 Pu 2.75
S 0.2162 0.9703 0.6865  1 Ti 2.53, 2 Pu 2.75
S 0.2459 0.0297 0.3135  1 Ti 2.53, 2 Pu 2.75
S 0.7541 0.9703 0.6865  1 Ti 2.53, 2 Pu 2.75

## Properties
Space group ... R-3m
Density ... 4.7 Mg/m³
Final energy ... -7.34 eV per atom
Magnetic moment ... 15.00 μB per cell

=====

What is the final energy in the fifth record?
-6.73 eV per atom